No. 1
VASP calculation (PBE) on an optimized crystal structure of Nd2HoNpAs4.

The structure in extended XYZ format:
```
8
Lattice="4.181 0.000 0.000 0.000 7.240 0.133 0.000 -2.523 6.800" Properties=species:S:1:pos:R:3 pbc="T T T"
As 2.090 1.174 1.647
As 2.090 3.543 5.286
As 0.000 4.817 1.714
As 0.000 -0.100 5.219
Ho 2.090 3.620 0.067
Nd 0.000 2.358 3.467
Nd 2.090 -1.262 3.400
Np 0.000 0.000 0.000
```

Output
E_form	-1.297	eV/atom

No. 2
VASP calculation (PBE) on an optimized crystal structure of K2CuRh.

The structure in extended XYZ format:
```
4
Lattice="0.000 3.769 3.769 3.769 0.000 3.769 3.769 3.769 0.000" Properties=species:S:1:pos:R:3 pbc="T T T"
Rh 3.769 3.769 3.769
K 5.653 5.653 5.653
K 1.884 1.884 1.884
Cu 0.000 0.000 0.000
```

Output
E_form	0.902	eV/atom
E above lowest polymorph	0.544	eV/atom

No. 3
VASP calculation (PBE) on an optimized crystal structure of BaH6Au2.

The structure in extended XYZ format:
```
18
Lattice="-4.724 0.449 5.552 0.385 -4.785 5.518 1.358 2.353 6.779" Properties=species:S:1:pos:R:3 pbc="T T T"
H 0.009 -4.048 6.169
H -2.991 2.065 11.679
H -0.160 -1.649 3.415
H -1.115 -1.728 8.272
H -1.651 -2.640 12.339
H -1.331 0.657 5.509
H -1.957 -2.626 14.803
H -1.025 0.643 3.045
H -1.866 -0.255 9.576
H -2.516 -0.348 11.970
H -2.822 -0.334 14.433
H -0.466 -1.635 5.878
Au -2.236 -1.487 13.386
Au -0.553 -2.888 7.221
Au -0.745 -0.496 4.462
Au -2.429 0.905 10.628
Ba -2.915 -2.664 9.997
Ba -0.067 0.681 7.852
```

No. 4
VASP calculation (PBE) on an optimized crystal structure of Ba3In2Pb7.

The structure in extended XYZ format:
```
12
Lattice="-3.002 -0.992 -3.948 3.989 0.260 -3.099 2.144 -15.752 5.567" Properties=species:S:1:pos:R:3 pbc="T T T"
Pb 1.221 -7.462 0.946
Pb 1.910 -9.022 -2.426
Pb 2.414 -2.434 -1.225
Pb 0.717 -14.051 -0.255
Pb 0.000 0.000 0.000
Pb -1.082 -3.060 -1.649
Pb 4.213 -13.425 0.169
Ba 0.493 -0.366 -3.524
Ba 1.772 -10.827 1.373
Ba 1.359 -5.658 -2.853
In 0.739 -4.517 0.573
In 2.392 -11.967 -2.053
```

Output
E_form	-0.318	eV/atom

No. 5
VASP calculation (PBE) on an optimized crystal structure of PmHoPa2Rh4.

The structure in extended XYZ format:
```
8
Lattice="5.649 0.572 0.000 -0.045 5.678 0.000 -2.802 -3.125 5.479" Properties=species:S:1:pos:R:3 pbc="T T T"
Rh 2.248 2.507 2.557
Rh -0.554 -0.618 2.922
Rh 2.321 0.349 0.000
Rh 0.094 2.345 0.000
Ho 2.873 3.204 0.000
Pm 5.204 5.803 0.000
Pa -0.518 2.285 2.739
Pa 2.328 -0.267 2.739
```

Output
E_form	-0.687	eV/atom

No. 6
VASP calculation (PBE) on an optimized crystal structure of K2NdHoSe4.

The structure in extended XYZ format:
```
8
Lattice="-3.769 1.547 1.295 -3.129 -2.370 -6.279 -0.572 -5.948 5.440" Properties=species:S:1:pos:R:3 pbc="T T T"
K -1.851 -4.159 -0.420
K -2.170 -2.201 3.367
Ho -3.449 -0.411 -2.492
Se -1.308 -5.371 2.609
Se -2.770 -1.051 0.250
Se -2.394 -2.947 -3.448
Se -4.701 -5.720 0.206
Nd 0.000 0.000 0.000
```

Output
formation energy from raw total energies	-1753.0	meV per atom

Number 1: Fermi-level density of states 11.9 states/eV per cell, final energy -7.0036 eV/atom. Number 2: Fermi-level density of states 3.0 states/eV per cell, final energy -2.5089 eV/atom. Number 3: Fermi-level density of states 1.4 states/eV per cell, final energy -3.3560 eV/atom. Number 4: Fermi-level density of states 5.5 states/eV per cell, final energy -3.4183 eV/atom. Number 5: Fermi-level density of states 7.5 states/eV per cell, final energy -7.9030 eV/atom. Number 6: Fermi-level density of states 0.0 states/eV per cell, final energy -4.9378 eV/atom.